No. 1
This record from the Alexandria database describes a geometry-optimized Ca3TiFe2O8 structure. The functional is GGA+U.

Summary:
Symmetry: P2_1
DFT total energy (eV per atom): -7.02
DOS(E_F) (states/eV/cell): 0.0

Structure (CIF):
```
data_Ca3TiFe2O8
_chemical_formula_sum 'Ca6 Ti2 Fe4 O16'
_cell_length_a 5.5247
_cell_length_b 5.4222
_cell_length_c 11.2571
_cell_angle_alpha 90.00
_cell_angle_beta 90.04
_cell_angle_gamma 90.00
_space_group_name_H-M_alt 'P 1'
_space_group_IT_number 1
_space_group_name_Hall 'P 1'
loop_
_atom_site_label
_atom_site_type_symbol
_atom_site_fract_x
_atom_site_fract_y
_atom_site_fract_z
_atom_site_occupancy
Ca1 Ca 0.2233 0.0000 0.3095 1
Ca2 Ca 0.2244 0.0013 0.6899 1
Ca3 Ca 0.2307 0.0513 0.0016 1
Ca4 Ca 0.7693 0.5513 0.9984 1
Ca5 Ca 0.7756 0.5013 0.3101 1
Ca6 Ca 0.7767 0.5000 0.6905 1
Ti1 Ti 0.2681 0.5247 0.8388 1
Ti2 Ti 0.7319 0.0247 0.1612 1
Fe1 Fe 0.2523 0.5256 0.1722 1
Fe2 Fe 0.3152 0.4698 0.4992 1
Fe3 Fe 0.6848 0.9698 0.5008 1
Fe4 Fe 0.7477 0.0256 0.8278 1
O1 O 0.0165 0.7922 0.1475 1
O2 O 0.0172 0.7931 0.8530 1
O3 O 0.1801 0.5508 0.3512 1
O4 O 0.1801 0.5529 0.6460 1
O5 O 0.3305 0.5136 0.0004 1
O6 O 0.3626 0.1120 0.4999 1
O7 O 0.4791 0.2562 0.1976 1
O8 O 0.4804 0.2559 0.8015 1
O9 O 0.5196 0.7559 0.1985 1
O10 O 0.5209 0.7562 0.8024 1
O11 O 0.6374 0.6120 0.5001 1
O12 O 0.6695 0.0136 0.9996 1
O13 O 0.8199 0.0508 0.6488 1
O14 O 0.8199 0.0529 0.3540 1
O15 O 0.9828 0.2931 0.1470 1
O16 O 0.9835 0.2922 0.8525 1
```

No. 2
This record from the Alexandria database describes a geometry-optimized CaTl2FeO structure. The functional is GGA+U.

Summary:
Symmetry: P4/mmm
DFT total energy (eV per atom): -3.70
DOS(E_F) (states/eV/cell): 5.6

Structure (CIF):
```
data_CaTl2FeO
_chemical_formula_sum 'Ca1 Tl2 Fe1 O1'
_cell_length_a 5.8030
_cell_length_b 5.8030
_cell_length_c 3.6936
_cell_angle_alpha 90.00
_cell_angle_beta 90.00
_cell_angle_gamma 90.00
_space_group_name_H-M_alt 'P 1'
_space_group_IT_number 1
_space_group_name_Hall 'P 1'
loop_
_atom_site_label
_atom_site_type_symbol
_atom_site_fract_x
_atom_site_fract_y
_atom_site_fract_z
_atom_site_occupancy
Ca1 Ca 0.0000 0.0000 0.0000 1
Tl1 Tl 0.0000 0.5000 0.5000 1
Tl2 Tl 0.5000 0.0000 0.5000 1
Fe1 Fe 0.5000 0.5000 0.0000 1
O1 O 0.5000 0.5000 0.5000 1
```

No. 3
This record from the Alexandria database describes a geometry-optimized CaTmFeO4 structure. The functional is GGA+U.

Summary:
Symmetry: Imma
DFT total energy (eV per atom): -7.15
DOS(E_F) (states/eV/cell): 0.0

Structure (CIF):
```
data_CaTmFeO4
_chemical_formula_sum 'Ca2 Tm2 Fe2 O8'
_cell_length_a 6.4751
_cell_length_b 6.4751
_cell_length_c 6.4751
_cell_angle_alpha 121.18
_cell_angle_beta 118.99
_cell_angle_gamma 89.86
_space_group_name_H-M_alt 'P 1'
_space_group_IT_number 1
_space_group_name_Hall 'P 1'
loop_
_atom_site_label
_atom_site_type_symbol
_atom_site_fract_x
_atom_site_fract_y
_atom_site_fract_z
_atom_site_occupancy
Ca1 Ca 0.5000 0.0000 0.0000 1
Ca2 Ca 0.5000 0.5000 0.5000 1
Tm1 Tm 0.0000 0.0000 0.0000 1
Tm2 Tm 0.5000 0.0000 0.5000 1
Fe1 Fe 0.1174 0.3674 0.7500 1
Fe2 Fe 0.8826 0.6326 0.2500 1
O1 O 0.2344 0.2445 0.9899 1
O2 O 0.2448 0.2385 0.4937 1
O3 O 0.2448 0.7511 0.0063 1
O4 O 0.2454 0.7555 0.4899 1
O5 O 0.7546 0.2445 0.5101 1
O6 O 0.7552 0.2489 0.9937 1
O7 O 0.7552 0.7615 0.5063 1
O8 O 0.7656 0.7555 0.0101 1
```

No. 4
This record from the Alexandria database describes a geometry-optimized CaTm2FeO5 structure. The functional is GGA+U.

Summary:
Symmetry: P4/mbm
DFT total energy (eV per atom): -7.33
DOS(E_F) (states/eV/cell): 0.0

Structure (CIF):
```
data_CaTm2FeO5
_chemical_formula_sum 'Ca2 Tm4 Fe2 O10'
_cell_length_a 6.3064
_cell_length_b 6.3064
_cell_length_c 5.6543
_cell_angle_alpha 90.00
_cell_angle_beta 90.00
_cell_angle_gamma 90.00
_space_group_name_H-M_alt 'P 1'
_space_group_IT_number 1
_space_group_name_Hall 'P 1'
loop_
_atom_site_label
_atom_site_type_symbol
_atom_site_fract_x
_atom_site_fract_y
_atom_site_fract_z
_atom_site_occupancy
Ca1 Ca 0.0000 0.0000 0.0000 1
Ca2 Ca 0.5000 0.5000 0.0000 1
Tm1 Tm 0.1741 0.3259 0.5000 1
Tm2 Tm 0.3259 0.8259 0.5000 1
Tm3 Tm 0.6741 0.1741 0.5000 1
Tm4 Tm 0.8259 0.6741 0.5000 1
Fe1 Fe 0.0000 0.5000 0.0000 1
Fe2 Fe 0.5000 0.0000 0.0000 1
O1 O 0.0000 0.0000 0.5000 1
O2 O 0.1433 0.6433 0.2463 1
O3 O 0.1433 0.6433 0.7537 1
O4 O 0.3567 0.1433 0.2463 1
O5 O 0.3567 0.1433 0.7537 1
O6 O 0.5000 0.5000 0.5000 1
O7 O 0.6433 0.8567 0.2463 1
O8 O 0.6433 0.8567 0.7537 1
O9 O 0.8567 0.3567 0.2463 1
O10 O 0.8567 0.3567 0.7537 1
```

No. 5
This record from the Alexandria database describes a geometry-optimized Ca6V3Fe7O24 structure. The functional is GGA+U.

Summary:
Symmetry: I-43d
DFT total energy (eV per atom): -6.95
DOS(E_F) (states/eV/cell): 0.0

Structure (CIF):
```
data_Ca6V3Fe7O24
_chemical_formula_sum 'Ca12 V6 Fe14 O48'
_cell_length_a 10.9438
_cell_length_b 10.9438
_cell_length_c 10.9438
_cell_angle_alpha 109.47
_cell_angle_beta 109.47
_cell_angle_gamma 109.47
_space_group_name_H-M_alt 'P 1'
_space_group_IT_number 1
_space_group_name_Hall 'P 1'
loop_
_atom_site_label
_atom_site_type_symbol
_atom_site_fract_x
_atom_site_fract_y
_atom_site_fract_z
_atom_site_occupancy
Ca1 Ca 0.1251 0.2500 0.3751 1
Ca2 Ca 0.1249 0.3749 0.7500 1
Ca3 Ca 0.2500 0.3751 0.1251 1
Ca4 Ca 0.2500 0.8749 0.6249 1
Ca5 Ca 0.3751 0.1251 0.2500 1
Ca6 Ca 0.3749 0.7500 0.1249 1
Ca7 Ca 0.6249 0.2500 0.8749 1
Ca8 Ca 0.6251 0.8751 0.7500 1
Ca9 Ca 0.7500 0.1249 0.3749 1
Ca10 Ca 0.7500 0.6251 0.8751 1
Ca11 Ca 0.8749 0.6249 0.2500 1
Ca12 Ca 0.8751 0.7500 0.6251 1
V1 V 0.1250 0.8750 0.2500 1
V2 V 0.2500 0.1250 0.8750 1
V3 V 0.3750 0.6250 0.7500 1
V4 V 0.6250 0.7500 0.3750 1
V5 V 0.7500 0.3750 0.6250 1
V6 V 0.8750 0.2500 0.1250 1
Fe1 Fe 0.0000 0.0263 0.5000 1
Fe2 Fe 0.0000 0.5263 0.5000 1
Fe3 Fe 0.0263 0.5000 0.0000 1
Fe4 Fe 0.1250 0.7500 0.8750 1
Fe5 Fe 0.2500 0.6250 0.3750 1
Fe6 Fe 0.3750 0.2500 0.6250 1
Fe7 Fe 0.4737 0.4737 0.4737 1
Fe8 Fe 0.5000 0.0000 0.0263 1
Fe9 Fe 0.5000 0.0000 0.5263 1
Fe10 Fe 0.5263 0.5000 0.0000 1
Fe11 Fe 0.6250 0.3750 0.2500 1
Fe12 Fe 0.7500 0.8750 0.1250 1
Fe13 Fe 0.8750 0.1250 0.7500 1
Fe14 Fe 0.9737 0.9737 0.9737 1
O1 O 0.0020 0.6873 0.1092 1
O2 O 0.0379 0.3191 0.9066 1
O3 O 0.0781 0.8928 0.3908 1
O4 O 0.0874 0.7187 0.6809 1
O5 O 0.0934 0.6313 0.4126 1
O6 O 0.1072 0.9980 0.1853 1
O7 O 0.1092 0.0020 0.6873 1
O8 O 0.1313 0.5934 0.9126 1
O9 O 0.1809 0.2187 0.5874 1
O10 O 0.1853 0.1072 0.9980 1
O11 O 0.1873 0.5020 0.6092 1
O12 O 0.2187 0.5874 0.1809 1
O13 O 0.2813 0.4621 0.3687 1
O14 O 0.3127 0.9219 0.3147 1
O15 O 0.3147 0.3127 0.9219 1
O16 O 0.3191 0.9066 0.0379 1
O17 O 0.3687 0.2813 0.4621 1
O18 O 0.3908 0.0781 0.8928 1
O19 O 0.3928 0.5781 0.8908 1
O20 O 0.4066 0.8191 0.5379 1
O21 O 0.4126 0.0934 0.6313 1
O22 O 0.4219 0.8127 0.8147 1
O23 O 0.4621 0.3687 0.2813 1
O24 O 0.4980 0.6072 0.6853 1
O25 O 0.5020 0.6092 0.1873 1
O26 O 0.5379 0.4066 0.8191 1
O27 O 0.5781 0.8908 0.3928 1
O28 O 0.5874 0.1809 0.2187 1
O29 O 0.5934 0.9126 0.1313 1
O30 O 0.6072 0.6853 0.4980 1
O31 O 0.6092 0.1873 0.5020 1
O32 O 0.6313 0.4126 0.0934 1
O33 O 0.6809 0.0874 0.7187 1
O34 O 0.6853 0.4980 0.6072 1
O35 O 0.6873 0.1092 0.0020 1
O36 O 0.7187 0.6809 0.0874 1
O37 O 0.7813 0.8687 0.9621 1
O38 O 0.8127 0.8147 0.4219 1
O39 O 0.8147 0.4219 0.8127 1
O40 O 0.8191 0.5379 0.4066 1
O41 O 0.8687 0.9621 0.7813 1
O42 O 0.8908 0.3928 0.5781 1
O43 O 0.8928 0.3908 0.0781 1
O44 O 0.9066 0.0379 0.3191 1
O45 O 0.9126 0.1313 0.5934 1
O46 O 0.9219 0.3147 0.3127 1
O47 O 0.9621 0.7813 0.8687 1
O48 O 0.9980 0.1853 0.1072 1
```

No. 6
This record from the Alexandria database describes a geometry-optimized CaFeWO6 structure. The functional is GGA+U.

Summary:
Symmetry: Cm
DFT total energy (eV per atom): -6.86
DOS(E_F) (states/eV/cell): 3.3

Structure (CIF):
```
data_CaFeWO6
_chemical_formula_sum 'Ca1 Fe1 W1 O6'
_cell_length_a 5.4959
_cell_length_b 5.4959
_cell_length_c 5.5237
_cell_angle_alpha 119.90
_cell_angle_beta 119.90
_cell_angle_gamma 60.33
_space_group_name_H-M_alt 'P 1'
_space_group_IT_number 1
_space_group_name_Hall 'P 1'
loop_
_atom_site_label
_atom_site_type_symbol
_atom_site_fract_x
_atom_site_fract_y
_atom_site_fract_z
_atom_site_occupancy
Ca1 Ca 0.0000 0.0000 0.0000 1
Fe1 Fe 0.7535 0.7535 0.2661 1
W1 W 0.2488 0.2488 0.7582 1
O1 O 0.0077 0.0077 0.4392 1
O2 O 0.0321 0.5441 0.5676 1
O3 O 0.4532 0.9799 0.9856 1
O4 O 0.4972 0.4972 0.0635 1
O5 O 0.5441 0.0321 0.5676 1
O6 O 0.9799 0.4532 0.9856 1
```

No. 7
This record from the Alexandria database describes a geometry-optimized CaY2FeO5 structure. The functional is GGA+U.

Summary:
Symmetry: P4/mbm
DFT total energy (eV per atom): -7.70
DOS(E_F) (states/eV/cell): 0.0

Structure (CIF):
```
data_CaY2FeO5
_chemical_formula_sum 'Ca2 Y4 Fe2 O10'
_cell_length_a 6.4188
_cell_length_b 6.4188
_cell_length_c 5.6985
_cell_angle_alpha 90.00
_cell_angle_beta 90.00
_cell_angle_gamma 90.00
_space_group_name_H-M_alt 'P 1'
_space_group_IT_number 1
_space_group_name_Hall 'P 1'
loop_
_atom_site_label
_atom_site_type_symbol
_atom_site_fract_x
_atom_site_fract_y
_atom_site_fract_z
_atom_site_occupancy
Ca1 Ca 0.0000 0.0000 0.0000 1
Ca2 Ca 0.5000 0.5000 0.0000 1
Y1 Y 0.1740 0.3260 0.5000 1
Y2 Y 0.3260 0.8260 0.5000 1
Y3 Y 0.6740 0.1740 0.5000 1
Y4 Y 0.8260 0.6740 0.5000 1
Fe1 Fe 0.0000 0.5000 0.0000 1
Fe2 Fe 0.5000 0.0000 0.0000 1
O1 O 0.0000 0.0000 0.5000 1
O2 O 0.1422 0.6422 0.2434 1
O3 O 0.1422 0.6422 0.7566 1
O4 O 0.3578 0.1422 0.2434 1
O5 O 0.3578 0.1422 0.7566 1
O6 O 0.5000 0.5000 0.5000 1
O7 O 0.6422 0.8578 0.2434 1
O8 O 0.6422 0.8578 0.7566 1
O9 O 0.8578 0.3578 0.2434 1
O10 O 0.8578 0.3578 0.7566 1
```

No. 8
This record from the Alexandria database describes a geometry-optimized Ca2YFeO5 structure. The functional is GGA+U.

Summary:
Symmetry: Ima2
DFT total energy (eV per atom): -7.16

Structure (CIF):
```
data_Ca2YFeO5
_chemical_formula_sum 'Ca4 Y2 Fe2 O10'
_cell_length_a 8.8696
_cell_length_b 8.8696
_cell_length_c 8.8696
_cell_angle_alpha 53.41
_cell_angle_beta 142.43
_cell_angle_gamma 143.46
_space_group_name_H-M_alt 'P 1'
_space_group_IT_number 1
_space_group_name_Hall 'P 1'
loop_
_atom_site_label
_atom_site_type_symbol
_atom_site_fract_x
_atom_site_fract_y
_atom_site_fract_z
_atom_site_occupancy
Ca1 Ca 0.0270 0.0993 0.1263 1
Ca2 Ca 0.0270 0.4007 0.4276 1
Ca3 Ca 0.9730 0.5993 0.5724 1
Ca4 Ca 0.9730 0.9007 0.8737 1
Y1 Y 0.4237 0.7174 0.2063 1
Y2 Y 0.5111 0.2174 0.7937 1
Fe1 Fe 0.5242 0.0242 0.5000 1
Fe2 Fe 0.5242 0.5242 0.0000 1
O1 O 0.0317 0.2944 0.7765 1
O2 O 0.0317 0.7551 0.2373 1
O3 O 0.1583 0.8216 0.8367 1
O4 O 0.4867 0.2012 0.5446 1
O5 O 0.4867 0.4420 0.7855 1
O6 O 0.5179 0.2551 0.2235 1
O7 O 0.5179 0.7944 0.7627 1
O8 O 0.6565 0.7012 0.2145 1
O9 O 0.6565 0.9420 0.4554 1
O10 O 0.9848 0.3216 0.1633 1
```

No. 9
This record from the Alexandria database describes a geometry-optimized CaYFeO4 structure. The functional is GGA+U.

Summary:
Symmetry: Imma
DFT total energy (eV per atom): -7.38
DOS(E_F) (states/eV/cell): 0.0

Structure (CIF):
```
data_CaYFeO4
_chemical_formula_sum 'Ca2 Y2 Fe2 O8'
_cell_length_a 6.5255
_cell_length_b 6.5255
_cell_length_c 6.5255
_cell_angle_alpha 121.23
_cell_angle_beta 118.75
_cell_angle_gamma 90.03
_space_group_name_H-M_alt 'P 1'
_space_group_IT_number 1
_space_group_name_Hall 'P 1'
loop_
_atom_site_label
_atom_site_type_symbol
_atom_site_fract_x
_atom_site_fract_y
_atom_site_fract_z
_atom_site_occupancy
Ca1 Ca 0.5000 0.0000 0.0000 1
Ca2 Ca 0.5000 0.5000 0.5000 1
Y1 Y 0.0000 0.0000 0.0000 1
Y2 Y 0.5000 0.0000 0.5000 1
Fe1 Fe 0.1182 0.3682 0.7500 1
Fe2 Fe 0.8818 0.6318 0.2500 1
O1 O 0.2382 0.2478 0.9904 1
O2 O 0.2426 0.7522 0.4904 1
O3 O 0.2454 0.2429 0.4975 1
O4 O 0.2454 0.7480 0.0025 1
O5 O 0.7546 0.2520 0.9975 1
O6 O 0.7546 0.7571 0.5025 1
O7 O 0.7574 0.2478 0.5096 1
O8 O 0.7618 0.7522 0.0096 1
```

No. 10
This record from the Alexandria database describes a geometry-optimized CaZn2Fe4O8 structure. The functional is GGA+U.

Summary:
Symmetry: C2/m
DFT total energy (eV per atom): -5.73

Structure (CIF):
```
data_CaZn2Fe4O8
_chemical_formula_sum 'Ca1 Zn2 Fe4 O8'
_cell_length_a 6.0622
_cell_length_b 6.0622
_cell_length_c 6.4144
_cell_angle_alpha 117.54
_cell_angle_beta 117.54
_cell_angle_gamma 59.46
_space_group_name_H-M_alt 'P 1'
_space_group_IT_number 1
_space_group_name_Hall 'P 1'
loop_
_atom_site_label
_atom_site_type_symbol
_atom_site_fract_x
_atom_site_fract_y
_atom_site_fract_z
_atom_site_occupancy
Ca1 Ca 0.0000 0.0000 0.0000 1
Zn1 Zn 0.0000 0.5000 0.0000 1
Zn2 Zn 0.5000 0.0000 0.0000 1
Fe1 Fe 0.1589 0.1589 0.4720 1
Fe2 Fe 0.5000 0.5000 0.0000 1
Fe3 Fe 0.5000 0.5000 0.5000 1
Fe4 Fe 0.8411 0.8411 0.5280 1
O1 O 0.2287 0.7370 0.7150 1
O2 O 0.2545 0.2545 0.2716 1
O3 O 0.2630 0.7713 0.2850 1
O4 O 0.2733 0.2733 0.8256 1
O5 O 0.7267 0.7267 0.1744 1
O6 O 0.7370 0.2287 0.7150 1
O7 O 0.7455 0.7455 0.7284 1
O8 O 0.7713 0.2630 0.2850 1
```

No. 11
This record from the Alexandria database describes a geometry-optimized CaZn2Fe4O8 structure. The functional is GGA+U.

Summary:
Symmetry: Imm2
DFT total energy (eV per atom): -5.89

Structure (CIF):
```
data_CaZn2Fe4O8
_chemical_formula_sum 'Ca1 Zn2 Fe4 O8'
_cell_length_a 6.3453
_cell_length_b 6.3453
_cell_length_c 6.3453
_cell_angle_alpha 121.33
_cell_angle_beta 118.78
_cell_angle_gamma 89.92
_space_group_name_H-M_alt 'P 1'
_space_group_IT_number 1
_space_group_name_Hall 'P 1'
loop_
_atom_site_label
_atom_site_type_symbol
_atom_site_fract_x
_atom_site_fract_y
_atom_site_fract_z
_atom_site_occupancy
Ca1 Ca 0.0000 0.0000 0.0000 1
Zn1 Zn 0.7545 0.0367 0.2822 1
Zn2 Zn 0.7545 0.4722 0.7178 1
Fe1 Fe 0.3111 0.5778 0.7333 1
Fe2 Fe 0.3238 0.3238 0.0000 1
Fe3 Fe 0.3652 0.8652 0.5000 1
Fe4 Fe 0.8445 0.5778 0.2667 1
O1 O 0.9995 0.7981 0.2015 1
O2 O 0.0508 0.3504 0.7003 1
O3 O 0.1304 0.4202 0.2898 1
O4 O 0.1304 0.8406 0.7102 1
O5 O 0.5377 0.3145 0.7768 1
O6 O 0.5377 0.7609 0.2232 1
O7 O 0.5966 0.7981 0.7985 1
O8 O 0.6501 0.3504 0.2997 1
```

No. 12
This record from the Alexandria database describes a geometry-optimized Ca2ZrFeO6 structure. The functional is GGA+U.

Summary:
Symmetry: Fm-3m
DFT total energy (eV per atom): -7.24
DOS(E_F) (states/eV/cell): 1.9

Structure (CIF):
```
data_Ca2ZrFeO6
_chemical_formula_sum 'Ca2 Zr1 Fe1 O6'
_cell_length_a 5.6466
_cell_length_b 5.6466
_cell_length_c 5.6466
_cell_angle_alpha 60.00
_cell_angle_beta 60.00
_cell_angle_gamma 60.00
_space_group_name_H-M_alt 'P 1'
_space_group_IT_number 1
_space_group_name_Hall 'P 1'
loop_
_atom_site_label
_atom_site_type_symbol
_atom_site_fract_x
_atom_site_fract_y
_atom_site_fract_z
_atom_site_occupancy
Ca1 Ca 0.2500 0.2500 0.2500 1
Ca2 Ca 0.7500 0.7500 0.7500 1
Zr1 Zr 0.0000 0.0000 0.0000 1
Fe1 Fe 0.5000 0.5000 0.5000 1
O1 O 0.2582 0.2582 0.7418 1
O2 O 0.2582 0.7418 0.2582 1
O3 O 0.2582 0.7418 0.7418 1
O4 O 0.7418 0.2582 0.2582 1
O5 O 0.7418 0.2582 0.7418 1
O6 O 0.7418 0.7418 0.2582 1
```